A plane-wave DFT calculation with PBEsol was carried out for crystalline TiBi3Pd at its relaxed geometry.

a b c (Å): 5.267 5.267 5.267
angles (deg): 90.00 90.00 90.00
Site moments in Bohr magnetons follow the coordinates.
Sites, in units of the cell vectors:
Bi 0.000 0.500 0.000  -0.04
Bi 0.000 0.000 0.500  -0.04
Bi 0.500 0.000 0.000  -0.04
Pd 0.000 0.000 0.000  -0.03
Ti 0.500 0.500 0.500  1.63

## Properties
Calculated volume = 146.1 Å³/cell
Total magnetic moment = 1.9 μB/f.u.
Energy relative to the elements = 0.59 eV/atom

=====

A plane-wave DFT calculation with PBEsol was carried out for crystalline YMgP2 at its relaxed geometry.

a b c (Å): 3.963 3.968 6.430
angles (deg): 107.89 90.00 119.96
Sites, in units of the cell vectors:
Y 0.500 0.000 0.000
P 0.747 0.494 0.741
P 0.253 0.506 0.259
Mg 0.000 0.000 0.500

## Properties
Calculated volume = 81.9 Å³/cell
Total magnetic moment = 0.0 μB/f.u.
Energy relative to the elements = -0.88 eV/atom

=====

A plane-wave DFT calculation with PBEsol was carried out for crystalline HfSeSN2 at its relaxed geometry.

a b c (Å): 3.830 3.830 4.502
angles (deg): 90.00 90.00 90.00
Sites, in units of the cell vectors:
S 0.000 0.000 0.500
Hf 0.500 0.500 0.500
Se 0.000 0.000 0.000
N 0.000 0.500 0.000
N 0.500 0.000 0.000

## Properties
Calculated volume = 66.0 Å³/cell
Total magnetic moment = 0.0 μB/f.u.
Formation energy (no corrections) = 0.74 eV per atom

=====

A plane-wave DFT calculation with PBEsol was carried out for crystalline SrAgHRu2 at its relaxed geometry.

a b c (Å): 3.967 3.967 4.712
angles (deg): 90.00 90.00 90.00
Site moments in Bohr magnetons follow the coordinates.
Sites, in units of the cell vectors:
Ru 0.000 0.500 0.000  0.59
Ru 0.500 0.000 0.000  0.59
H 0.000 0.000 0.000  0.00
Ag 0.500 0.500 0.500  0.01
Sr 0.000 0.000 0.500  -0.01

## Properties
Calculated volume = 74.1 Å³/cell
Total magnetic moment = 1.3 μB/f.u.
Total DFT energy (no corrections) = -26.2 eV/cell

=====

A plane-wave DFT calculation with PBEsol was carried out for crystalline Na6HfH8S5O24 at its relaxed geometry.

a b c (Å): 8.446 10.514 11.223
angles (deg): 90.00 90.00 99.01
Sites, in units of the cell vectors:
Na 0.938 0.503 0.822
Na 0.062 0.497 0.322
Na 0.464 0.014 0.187
Na 0.536 0.986 0.687
Na 0.411 0.461 0.475
Na 0.589 0.539 0.975
Na 0.787 0.045 0.968
Na 0.213 0.955 0.468
Na 0.308 0.733 0.823
Na 0.692 0.267 0.323
Na 0.034 0.214 0.565
Na 0.966 0.786 0.065
Hf 0.778 0.725 0.504
Hf 0.222 0.275 0.004
H 0.469 0.396 0.160
H 0.531 0.604 0.660
H 0.545 0.292 0.082
H 0.455 0.708 0.582
H 0.991 0.948 0.663
H 0.009 0.052 0.163
H 0.842 0.996 0.216
H 0.158 0.004 0.716
H 0.496 0.816 0.041
H 0.504 0.184 0.541
H 0.647 0.823 0.117
H 0.353 0.177 0.617
H 0.723 0.223 0.759
H 0.277 0.777 0.259
H 0.575 0.193 0.844
H 0.425 0.807 0.344
S 0.694 0.614 0.272
S 0.306 0.386 0.772
S 0.751 0.778 0.800
S 0.249 0.222 0.300
S 0.783 0.398 0.557
S 0.217 0.602 0.057
S 0.157 0.676 0.575
S 0.843 0.324 0.075
S 0.744 0.984 0.444
S 0.256 0.016 0.944
O 0.604 0.693 0.354
O 0.396 0.307 0.854
O 0.850 0.624 0.340
O 0.150 0.376 0.840
O 0.608 0.482 0.268
O 0.392 0.518 0.768
O 0.719 0.672 0.154
O 0.281 0.328 0.654
O 0.823 0.803 0.674
O 0.177 0.197 0.174
O 0.742 0.640 0.826
O 0.258 0.360 0.326
O 0.859 0.859 0.881
O 0.141 0.141 0.381
O 0.589 0.816 0.798
O 0.411 0.184 0.298
O 0.791 0.542 0.570
O 0.209 0.458 0.070
O 0.896 0.370 0.465
O 0.104 0.630 0.965
O 0.617 0.344 0.521
O 0.383 0.656 0.021
O 0.825 0.349 0.674
O 0.175 0.651 0.174
O 0.034 0.743 0.513
O 0.966 0.257 0.013
O 0.198 0.574 0.497
O 0.802 0.426 0.997
O 0.303 0.777 0.591
O 0.697 0.223 0.091
O 0.101 0.630 0.692
O 0.899 0.370 0.192
O 0.879 0.906 0.426
O 0.121 0.094 0.926
O 0.619 0.884 0.501
O 0.381 0.116 0.001
O 0.787 0.091 0.526
O 0.213 0.909 0.026
O 0.693 0.028 0.327
O 0.307 0.972 0.827
O 0.543 0.651 0.582
O 0.457 0.349 0.082
O 0.915 0.985 0.149
O 0.085 0.015 0.649
O 0.585 0.880 0.072
O 0.415 0.120 0.572
O 0.663 0.154 0.810
O 0.337 0.846 0.310

## Properties
Calculated volume = 984.3 Å³/cell
Total magnetic moment = 0.1 μB/f.u.
Total DFT energy (no corrections) = -533.7 eV/cell

=====

A plane-wave DFT calculation with PBEsol was carried out for crystalline ReHg2Te at its relaxed geometry.

a b c (Å): 3.340 4.580 6.027
angles (deg): 112.02 105.68 91.02
Site moments in Bohr magnetons follow the coordinates.
Sites, in units of the cell vectors:
Hg 0.000 0.000 0.500  0.00
Hg 0.500 0.500 0.500  0.00
Re 0.000 0.000 0.000  0.69
Te 0.500 0.500 0.000  0.02

## Properties
Calculated volume = 81.6 Å³/cell
Total magnetic moment = 0.8 μB/f.u.
Polymorph energy (0 for the lowest one) = 0 meV per atom
Formation energy (no corrections) = 0.82 eV per atom

=====

A plane-wave DFT calculation with PBEsol was carried out for crystalline HfInSe2 at its relaxed geometry.

a b c (Å): 6.958 7.194 6.958
angles (deg): 61.08 90.00 118.92
Sites, in units of the cell vectors:
Hf 0.750 0.500 0.750
Hf 0.000 0.000 0.000
Se 0.692 0.750 0.375
Se 0.058 0.750 0.875
Se 0.875 0.250 0.692
Se 0.375 0.250 0.058
In 0.250 0.500 0.250
In 0.500 0.000 0.500

## Properties
Calculated volume = 254.1 Å³/cell
Total magnetic moment = 0.0 μB/f.u.
Formation energy (no corrections) = -0.44 eV per atom

=====

A plane-wave DFT calculation with PBEsol was carried out for crystalline Zr3ScPd at its relaxed geometry.

a b c (Å): 4.832 4.832 4.832
angles (deg): 90.00 90.00 90.00
Sites, in units of the cell vectors:
Sc 0.000 0.000 0.000
Zr 0.000 0.500 0.000
Zr 0.000 0.000 0.500
Zr 0.500 0.000 0.000
Pd 0.500 0.500 0.500

## Properties
Calculated volume = 112.9 Å³/cell
Total magnetic moment = 0.0 μB/f.u.
Energy relative to the elements = 1.12 eV/atom